[1]
A plane-wave DFT calculation with PBE was carried out for crystalline Tl2Ni2Bi at its relaxed geometry.

Calculated values
For the energy relative to the elements, the calculation gives 2.011 eV/f.u. The crystal system is tetragonal. The calculation puts the energy above the most stable polymorph in this dataset at 117 meV per atom. The density is 11.49 g/cm³.

Unit cell a=4.1939 b=4.1939 c=6.7275 alpha=71.84 beta=71.84 gamma=90.00
With the nearest neighbours (Å) after each atom.
Sites, in units of the cell vectors:
Ni 0.4016 0.4016 0.1968  1 Ni 2.38
Ni 0.5984 0.5984 0.8032  1 Ni 2.38
Tl 0.7500 0.2500 0.5000  4 Ni 2.78, 4 Tl 2.97
Tl 0.2500 0.7500 0.5000  4 Ni 2.78, 4 Tl 2.97
Bi 0.0000 0.0000 0.0000  8 Ni 3.19

---

[2]
A plane-wave DFT calculation with PBE was carried out for crystalline BeAl2Hg at its relaxed geometry.

Calculated values
For the energy relative to the elements, the calculation gives 1.064 eV/f.u. The crystal system is orthorhombic. The calculation puts the energy above the most stable polymorph in this dataset at 2 meV per atom. The density is 6.56 g/cm³.

Unit cell a=2.8091 b=3.0193 c=7.8679 alpha=90.00 beta=90.00 gamma=90.00
With the nearest neighbours (Å) after each atom.
Sites, in units of the cell vectors:
Be 0.5000 0.5000 0.2500  8 Al 2.58, 2 Be 2.81
Hg 0.5000 0.5000 0.7500  4 Hg 2.81-3.02, 8 Al 3.15
Al 0.0000 0.0000 0.0519  4 Be 2.58, 2 Al 2.81
Al 0.0000 0.0000 0.4481  4 Be 2.58, 2 Al 2.81

---

[3]
A plane-wave DFT calculation with PBE was carried out for crystalline Cs2VCr at its relaxed geometry.

Calculated values
For the energy relative to the elements, the calculation gives 7.724 eV/f.u. The crystal system is tetragonal. The calculation puts the energy above the most stable polymorph in this dataset at 0 meV per atom. The density is 2.53 g/cm³.

Unit cell a=7.8325 b=7.8325 c=9.6397 alpha=66.03 beta=66.03 gamma=90.00
With the nearest neighbours (Å) after each atom.
Sites, in units of the cell vectors:
Cs 0.5990 0.1250 0.2500  2 V 3.29, 2 Cr 3.52
Cs 0.1510 0.6250 0.2500  2 V 3.29, 2 Cr 3.52
Cs 0.3750 0.4010 0.7500  2 V 3.29, 2 Cr 3.52
Cs 0.8750 0.8490 0.7500  2 V 3.29, 2 Cr 3.52
Cr 0.0000 0.0000 0.0000  4 Cs 3.52
Cr 0.7500 0.2500 0.5000  4 Cs 3.52
V 0.5000 0.5000 0.0000  4 Cs 3.29
V 0.2500 0.7500 0.5000  4 Cs 3.29

---

- Which of these has the lowest density?
  Cs2VCr

---

- What is the energy relative to the elements in the third record?
  7.724 eV/f.u.